(w)
Material: Ti2BSb
Method: DFT, GGA-PBE
State: optimized geometry

## Properties
- Space-group type: I-42d (122)

Lattice parameters (Å, degrees): 5.5656 5.5656 5.5656 105.27 105.27 118.25
Sites, in units of the cell vectors:
Ti 0.0622 0.6250 0.9372
Ti 0.3750 0.3122 0.4372
Ti 0.6878 0.1250 0.0628
Ti 0.8750 0.9378 0.5628
B 0.0000 0.0000 0.0000
B 0.7500 0.2500 0.5000
Sb 0.2500 0.7500 0.5000
Sb 0.5000 0.5000 0.0000

=====

(x)
Material: Ti2BSb
Method: DFT, GGA-PBE
State: optimized geometry

## Properties
- Space-group type: Fm-3m (225)

Lattice parameters (Å, degrees): 4.4773 4.4773 4.4773 60.00 60.00 60.00
Sites, in units of the cell vectors:
Ti 0.2500 0.2500 0.2500
Ti 0.7500 0.7500 0.7500
B 0.0000 0.0000 0.0000
Sb 0.5000 0.5000 0.5000

=====

Order from most stable to least stable according to the calculation: (w), (x)

=====

(w)
Material: TlB2Sb
Method: DFT, GGA-PBE
State: optimized geometry

## Properties
- Space-group type: Fm-3m (225)

Lattice parameters (Å, degrees): 4.6343 4.6343 4.6343 60.00 60.00 60.00
Sites, in units of the cell vectors:
Tl 0.0000 0.0000 0.0000
B 0.2500 0.2500 0.2500
B 0.7500 0.7500 0.7500
Sb 0.5000 0.5000 0.5000

=====

(x)
Material: TlB2Sb
Method: DFT, GGA-PBE
State: optimized geometry

## Properties
- Space-group type: I-42d (122)

Lattice parameters (Å, degrees): 6.4774 6.4774 6.4774 130.11 130.11 73.24
Sites, in units of the cell vectors:
Tl 0.0000 0.0000 0.0000
Tl 0.7500 0.2500 0.5000
B 0.1443 0.6250 0.0193
B 0.3750 0.3943 0.5193
B 0.6057 0.1250 0.9807
B 0.8750 0.8557 0.4807
Sb 0.2500 0.7500 0.5000
Sb 0.5000 0.5000 0.0000

=====

Order from most stable to least stable according to the calculation: (x), (w)

=====

(w)
Material: TlBSb3
Method: DFT, GGA-PBE
State: optimized geometry

## Properties
- Space-group type: Pm-3m (221)

Lattice parameters (Å, degrees): 5.7039 5.7039 5.7039 90.00 90.00 90.00
Sites, in units of the cell vectors:
Tl 0.0000 0.0000 0.0000
B 0.5000 0.5000 0.5000
Sb 0.0000 0.0000 0.5000
Sb 0.0000 0.5000 0.0000
Sb 0.5000 0.0000 0.0000

=====

(x)
Material: TlBSb3
Method: DFT, GGA-PBE
State: optimized geometry

## Properties
- Space-group type: Pm-3m (221)

Lattice parameters (Å, degrees): 4.9919 4.9919 4.9919 90.00 90.00 90.00
Sites, in units of the cell vectors:
Tl 0.0000 0.0000 0.0000
B 0.5000 0.5000 0.5000
Sb 0.0000 0.5000 0.5000
Sb 0.5000 0.0000 0.5000
Sb 0.5000 0.5000 0.0000

=====

Order from most stable to least stable according to the calculation: (x), (w)

=====

(w)
Material: Tl2BSb
Method: DFT, GGA-PBE
State: optimized geometry

## Properties
- Space-group type: I-42d (122)

Lattice parameters (Å, degrees): 7.1433 7.1433 7.1433 127.57 127.57 77.32
Sites, in units of the cell vectors:
Tl 0.0309 0.6250 0.9059
Tl 0.3750 0.2809 0.4059
Tl 0.7191 0.1250 0.0941
Tl 0.8750 0.9691 0.5941
B 0.0000 0.0000 0.0000
B 0.7500 0.2500 0.5000
Sb 0.2500 0.7500 0.5000
Sb 0.5000 0.5000 0.0000

=====

(x)
Material: Tl2BSb
Method: DFT, GGA-PBE
State: optimized geometry

## Properties
- Space-group type: Fm-3m (225)

Lattice parameters (Å, degrees): 5.2182 5.2182 5.2182 60.00 60.00 60.00
Sites, in units of the cell vectors:
Tl 0.2500 0.2500 0.2500
Tl 0.7500 0.7500 0.7500
B 0.0000 0.0000 0.0000
Sb 0.5000 0.5000 0.5000

=====

Order from most stable to least stable according to the calculation: (w), (x)

=====

(w)
Material: B3SbW
Method: DFT, GGA-PBE
State: optimized geometry

## Properties
- Space-group type: Pm-3m (221)

Lattice parameters (Å, degrees): 4.2892 4.2892 4.2892 90.00 90.00 90.00
Sites, in units of the cell vectors:
B 0.0000 0.0000 0.5000
B 0.0000 0.5000 0.0000
B 0.5000 0.0000 0.0000
Sb 0.0000 0.0000 0.0000
W 0.5000 0.5000 0.5000

=====

(x)
Material: B3SbW
Method: DFT, GGA-PBE
State: optimized geometry

## Properties
- Space-group type: Pm-3m (221)

Lattice parameters (Å, degrees): 4.2615 4.2615 4.2615 90.00 90.00 90.00
Sites, in units of the cell vectors:
B 0.0000 0.0000 0.5000
B 0.0000 0.5000 0.0000
B 0.5000 0.0000 0.0000
Sb 0.5000 0.5000 0.5000
W 0.0000 0.0000 0.0000

=====

Order from most stable to least stable according to the calculation: (x), (w)

=====

(w)
Material: YBSb3
Method: DFT, GGA-PBE
State: optimized geometry

## Properties
- Space-group type: Pm-3m (221)

Lattice parameters (Å, degrees): 5.7560 5.7560 5.7560 90.00 90.00 90.00
Sites, in units of the cell vectors:
Y 0.0000 0.0000 0.0000
B 0.5000 0.5000 0.5000
Sb 0.0000 0.0000 0.5000
Sb 0.0000 0.5000 0.0000
Sb 0.5000 0.0000 0.0000

=====

(x)
Material: YBSb3
Method: DFT, GGA-PBE
State: optimized geometry

## Properties
- Space-group type: Pm-3m (221)

Lattice parameters (Å, degrees): 4.9242 4.9242 4.9242 90.00 90.00 90.00
Sites, in units of the cell vectors:
Y 0.0000 0.0000 0.0000
B 0.5000 0.5000 0.5000
Sb 0.0000 0.5000 0.5000
Sb 0.5000 0.0000 0.5000
Sb 0.5000 0.5000 0.0000

=====

Order from most stable to least stable according to the calculation: (x), (w)

=====

(w)
Material: Y2BSb2
Method: DFT, GGA-PBE
State: optimized geometry

## Properties
- Space-group type: P4/mbm (127)

Lattice parameters (Å, degrees): 7.2461 7.2461 4.7363 90.00 90.00 90.00
Sites, in units of the cell vectors:
Y 0.1797 0.3203 0.0000
Y 0.3203 0.8203 0.0000
Y 0.6797 0.1797 0.0000
Y 0.8203 0.6797 0.0000
B 0.0000 0.0000 0.0000
B 0.5000 0.5000 0.0000
Sb 0.1394 0.6394 0.5000
Sb 0.3606 0.1394 0.5000
Sb 0.6394 0.8606 0.5000
Sb 0.8606 0.3606 0.5000

=====

(x)
Material: Y2BSb2
Method: DFT, GGA-PBE
State: optimized geometry

## Properties
- Space-group type: I4/mmm (139)

Lattice parameters (Å, degrees): 8.6166 8.6166 8.6166 153.05 153.05 38.48
Sites, in units of the cell vectors:
Y 0.0969 0.0969 0.0000
Y 0.9031 0.9031 0.0000
B 0.5000 0.5000 0.0000
Sb 0.2500 0.7500 0.5000
Sb 0.7500 0.2500 0.5000

=====

Order from most stable to least stable according to the calculation: (w), (x)

=====

(w)
Material: ZnBSb2
Method: DFT, GGA-PBE
State: optimized geometry

## Properties
- Space-group type: I-42d (122)

Lattice parameters (Å, degrees): 6.8408 6.8408 6.8408 129.76 129.76 73.79
Sites, in units of the cell vectors:
Zn 0.0000 0.0000 0.0000
Zn 0.7500 0.2500 0.5000
B 0.2500 0.7500 0.5000
B 0.5000 0.5000 0.0000
Sb 0.1738 0.6250 0.0488
Sb 0.3750 0.4238 0.5488
Sb 0.5762 0.1250 0.9512
Sb 0.8750 0.8262 0.4512

=====

(x)
Material: ZnBSb2
Method: DFT, GGA-PBE
State: optimized geometry

## Properties
- Space-group type: Fm-3m (225)

Lattice parameters (Å, degrees): 4.7932 4.7932 4.7932 60.00 60.00 60.00
Sites, in units of the cell vectors:
Zn 0.0000 0.0000 0.0000
B 0.5000 0.5000 0.5000
Sb 0.2500 0.2500 0.2500
Sb 0.7500 0.7500 0.7500

=====

Order from most stable to least stable according to the calculation: (w), (x)

=====

(w)
Material: Zn2BSb
Method: DFT, GGA-PBE
State: optimized geometry

## Properties
- Space-group type: Fm-3m (225)

Lattice parameters (Å, degrees): 4.6099 4.6099 4.6099 60.00 60.00 60.00
Sites, in units of the cell vectors:
Zn 0.2500 0.2500 0.2500
Zn 0.7500 0.7500 0.7500
B 0.0000 0.0000 0.0000
Sb 0.5000 0.5000 0.5000

=====

(x)
Material: Zn2BSb
Method: DFT, GGA-PBE
State: optimized geometry

## Properties
- Space-group type: I-42d (122)

Lattice parameters (Å, degrees): 7.8308 7.8308 7.8308 146.90 146.90 47.51
Sites, in units of the cell vectors:
Zn 0.0047 0.6250 0.8797
Zn 0.3750 0.2547 0.3797
Zn 0.7453 0.1250 0.1203
Zn 0.8750 0.9953 0.6203
B 0.0000 0.0000 0.0000
B 0.7500 0.2500 0.5000
Sb 0.2500 0.7500 0.5000
Sb 0.5000 0.5000 0.0000

=====

Order from most stable to least stable according to the calculation: (x), (w)

=====

(w)
Material: ZrB3Sb
Method: DFT, GGA-PBE
State: optimized geometry

## Properties
- Space-group type: Pm-3m (221)

Lattice parameters (Å, degrees): 4.3586 4.3586 4.3586 90.00 90.00 90.00
Sites, in units of the cell vectors:
Zr 0.0000 0.0000 0.0000
B 0.0000 0.5000 0.5000
B 0.5000 0.0000 0.5000
B 0.5000 0.5000 0.0000
Sb 0.5000 0.5000 0.5000

=====

(x)
Material: ZrB3Sb
Method: DFT, GGA-PBE
State: optimized geometry

## Properties
- Space-group type: Pm-3m (221)

Lattice parameters (Å, degrees): 4.4740 4.4740 4.4740 90.00 90.00 90.00
Sites, in units of the cell vectors:
Zr 0.0000 0.0000 0.0000
B 0.0000 0.0000 0.5000
B 0.0000 0.5000 0.0000
B 0.5000 0.0000 0.0000
Sb 0.5000 0.5000 0.5000

=====

Order from most stable to least stable according to the calculation: (x), (w)

=====

(w)
Material: ZrBSb3
Method: DFT, GGA-PBE
State: optimized geometry

## Properties
- Space-group type: Pm-3m (221)

Lattice parameters (Å, degrees): 5.5273 5.5273 5.5273 90.00 90.00 90.00
Sites, in units of the cell vectors:
Zr 0.0000 0.0000 0.0000
B 0.5000 0.5000 0.5000
Sb 0.0000 0.0000 0.5000
Sb 0.0000 0.5000 0.0000
Sb 0.5000 0.0000 0.0000

=====

(x)
Material: ZrBSb3
Method: DFT, GGA-PBE
State: optimized geometry

## Properties
- Space-group type: Pm-3m (221)

Lattice parameters (Å, degrees): 4.8196 4.8196 4.8196 90.00 90.00 90.00
Sites, in units of the cell vectors:
Zr 0.0000 0.0000 0.0000
B 0.5000 0.5000 0.5000
Sb 0.0000 0.5000 0.5000
Sb 0.5000 0.0000 0.5000
Sb 0.5000 0.5000 0.0000

=====

Order from most stable to least stable according to the calculation: (x), (w)

=====

(w)
Material: Sc2BSe
Method: DFT, GGA-PBE
State: optimized geometry

## Properties
- Space-group type: I-42d (122)

Lattice parameters (Å, degrees): 5.7774 5.7774 5.7774 109.38 109.38 109.65
Sites, in units of the cell vectors:
Sc 0.0791 0.1250 0.4541
Sc 0.3750 0.9209 0.0459
Sc 0.6709 0.6250 0.5459
Sc 0.8750 0.3291 0.9541
B 0.0000 0.0000 0.0000
B 0.7500 0.2500 0.5000
Se 0.2500 0.7500 0.5000
Se 0.5000 0.5000 0.0000

=====

(x)
Material: Sc2BSe
Method: DFT, GGA-PBE
State: optimized geometry

## Properties
- Space-group type: R-3m (166)

Lattice parameters (Å, degrees): 7.9420 7.9420 7.9420 26.26 26.26 26.26
Sites, in units of the cell vectors:
Sc 0.1123 0.1123 0.1123
Sc 0.8877 0.8877 0.8877
B 0.5000 0.5000 0.5000
Se 0.0000 0.0000 0.0000

=====

Order from most stable to least stable according to the calculation: (w), (x)

=====

(w)
Material: ScBSe3
Method: DFT, GGA-PBE
State: optimized geometry

## Properties
- Space-group type: Pm-3m (221)

Lattice parameters (Å, degrees): 4.5142 4.5142 4.5142 90.00 90.00 90.00
Sites, in units of the cell vectors:
Sc 0.0000 0.0000 0.0000
B 0.5000 0.5000 0.5000
Se 0.0000 0.5000 0.5000
Se 0.5000 0.0000 0.5000
Se 0.5000 0.5000 0.0000

=====

(x)
Material: ScBSe3
Method: DFT, GGA-PBE
State: optimized geometry

## Properties
- Space-group type: Pm-3m (221)

Lattice parameters (Å, degrees): 5.1546 5.1546 5.1546 90.00 90.00 90.00
Sites, in units of the cell vectors:
Sc 0.0000 0.0000 0.0000
B 0.5000 0.5000 0.5000
Se 0.0000 0.0000 0.5000
Se 0.0000 0.5000 0.0000
Se 0.5000 0.0000 0.0000

=====

Order from most stable to least stable according to the calculation: (w), (x)

=====

(w)
Material: ScB3Se
Method: DFT, GGA-PBE
State: optimized geometry

## Properties
- Space-group type: Pm-3m (221)

Lattice parameters (Å, degrees): 4.5276 4.5276 4.5276 90.00 90.00 90.00
Sites, in units of the cell vectors:
Sc 0.0000 0.0000 0.0000
B 0.0000 0.0000 0.5000
B 0.0000 0.5000 0.0000
B 0.5000 0.0000 0.0000
Se 0.5000 0.5000 0.5000

=====

(x)
Material: ScB3Se
Method: DFT, GGA-PBE
State: optimized geometry

## Properties
- Space-group type: Pm-3m (221)

Lattice parameters (Å, degrees): 4.1067 4.1067 4.1067 90.00 90.00 90.00
Sites, in units of the cell vectors:
Sc 0.0000 0.0000 0.0000
B 0.0000 0.5000 0.5000
B 0.5000 0.0000 0.5000
B 0.5000 0.5000 0.0000
Se 0.5000 0.5000 0.5000

=====

Order from most stable to least stable according to the calculation: (x), (w)